This record from Alexandria via LeMat-Bulk describes a relaxed structure of PmAl2ReO8. The functional is PBE-GGA.

Summary:
Space group: No. 12
Formation energy from raw total energies (eV/atom): -2.426

Geometry as extended XYZ:
```
12
Lattice="3.6004 -3.0849 0.0000 3.6004 3.0849 0.0000 -1.1121 0.0000 6.5715" Properties=species:S:1:pos:R:3 pbc="T T T"
Pm 0.0000 0.0000 0.0000
Al 2.3953 0.0000 5.1834
Al 3.6934 0.0000 1.3881
Re -0.5560 0.0000 3.2858
O 2.7620 1.7564 4.6418
O 3.3268 1.7564 1.9298
O 1.2395 0.0000 3.7043
O 2.3680 0.0000 0.0412
O 3.7208 0.0000 6.5304
O 4.8493 0.0000 2.8672
O 2.7620 -1.7564 4.6418
O 3.3268 -1.7564 1.9298
```

This record from Alexandria via LeMat-Bulk describes a relaxed structure of CeY6Er3Sc2. The functional is PBE-GGA.

Summary:
E_tot (Ha/atom): -0.21540
Space group: No. 12

Geometry as extended XYZ:
```
12
Lattice="3.0352 -5.2548 0.0000 3.0352 5.2548 0.0000 -2.0195 0.0000 11.4603" Properties=species:S:1:pos:R:3 pbc="T T T"
Ce 0.0000 0.0000 0.0000
Y 1.0161 1.7520 2.8187
Y 0.0027 0.0000 8.6394
Y 1.0161 -1.7520 2.8187
Y 3.0348 1.7520 8.6416
Y 4.0482 0.0000 2.8209
Y 3.0348 -1.7520 8.6416
Er 2.0254 3.4917 5.7302
Er 2.0254 0.0000 5.7302
Er 2.0254 -3.4917 5.7302
Sc 3.0352 1.7513 0.0000
Sc 3.0352 -1.7513 0.0000
```

This record from Alexandria via LeMat-Bulk describes a relaxed structure of ZrH7CN4F5. The functional is PBE-GGA.

Summary:
E_tot (Ha/atom): -0.22200
Space group: No. 62

Geometry as extended XYZ:
```
72
Lattice="6.7914 0.0000 0.0000 0.0000 7.1581 0.0000 0.0000 0.0000 16.1436" Properties=species:S:1:pos:R:3 pbc="T T T"
Zr 0.2757 1.7895 3.3620
Zr 3.1200 5.3686 11.4337
Zr 3.6714 1.7895 4.7098
Zr 6.5157 5.3686 12.7816
H 0.4563 1.7895 11.0235
H 0.5764 1.7895 6.9218
H 0.7606 5.3686 0.1389
H 0.8875 5.3686 1.8862
H 0.9383 5.3686 8.3239
H 1.6375 0.9676 13.6750
H 1.6375 2.6115 13.6750
H 1.7581 4.5466 5.6032
H 1.7581 6.1905 5.6032
H 2.4574 1.7895 0.2521
H 2.5082 1.7895 9.9580
H 2.6351 1.7895 8.2107
H 2.8193 5.3686 14.9936
H 2.9393 5.3686 2.9517
H 3.8520 1.7895 13.1919
H 3.9721 1.7895 1.1500
H 4.1563 5.3686 7.9329
H 4.2832 5.3686 6.1856
H 4.3339 5.3686 15.8915
H 5.0332 0.9676 10.5404
H 5.0332 2.6115 10.5404
H 5.1538 4.5466 2.4686
H 5.1538 6.1905 2.4686
H 5.8531 1.7895 7.8197
H 5.9039 1.7895 14.2574
H 6.0308 1.7895 16.0047
H 6.2150 5.3686 9.2218
H 6.3350 5.3686 5.1201
C 0.7184 1.7895 8.9759
C 2.6772 5.3686 0.9041
C 4.1141 1.7895 15.2395
C 6.0729 5.3686 7.1677
N 6.7891 1.7895 10.1138
N 0.0023 5.3686 6.0298
N 0.0788 1.7895 7.8075
N 1.3442 5.3686 0.9794
N 1.3981 5.3686 6.0961
N 1.9976 1.7895 14.1679
N 2.0515 1.7895 9.0512
N 3.3169 5.3686 15.8793
N 3.3934 1.7895 14.1016
N 3.3980 5.3686 2.0420
N 3.4745 1.7895 0.2643
N 4.7399 5.3686 7.0924
N 4.7938 5.3686 1.9757
N 5.3932 1.7895 10.0475
N 5.4472 1.7895 15.1642
N 6.7126 5.3686 8.3361
F 0.1769 3.7961 3.4876
F 0.1769 6.9410 3.4876
F 0.2838 1.7895 1.3595
F 1.0292 5.3686 11.0153
F 1.5317 1.7895 5.1911
F 1.8640 5.3686 13.2629
F 2.3665 1.7895 2.9435
F 3.1119 5.3686 9.4313
F 3.2188 0.2171 11.5594
F 3.2188 3.3619 11.5594
F 3.5726 3.7961 4.5842
F 3.5726 6.9410 4.5842
F 3.6795 1.7895 6.7123
F 4.4249 5.3686 13.2001
F 4.9274 1.7895 2.8807
F 5.2597 5.3686 10.9525
F 5.7621 1.7895 5.1283
F 6.5076 5.3686 14.7841
F 6.6145 0.2171 12.6560
F 6.6145 3.3619 12.6560
```

This record from Alexandria via LeMat-Bulk describes a relaxed structure of BaNa2MgTl4. The functional is PBE-GGA.

Summary:
E_tot (Ha/atom): -0.07785
Space group: No. 166

Geometry as extended XYZ:
```
8
Lattice="2.6285 1.5176 10.3474 -2.6285 1.5176 10.3474 0.0000 -3.0351 10.3474" Properties=species:S:1:pos:R:3 pbc="T T T"
Ba 0.0000 0.0000 0.0000
Na 0.0000 0.0000 7.2870
Na 0.0000 0.0000 23.7552
Mg 0.0000 0.0000 15.5211
Tl 0.0000 0.0000 3.8946
Tl 0.0000 0.0000 12.3880
Tl 0.0000 0.0000 18.6542
Tl 0.0000 0.0000 27.1477
```

This record from Alexandria via LeMat-Bulk describes a relaxed structure of La2Zn4Ga3Si. The functional is PBE-GGA.

Summary:
Space group: No. 115
Formation energy from raw total energies (eV/atom): -0.478

Geometry as extended XYZ:
```
10
Lattice="4.3440 0.0000 0.0000 0.0000 4.3440 0.0000 0.0000 0.0000 10.4349" Properties=species:S:1:pos:R:3 pbc="T T T"
La 0.0000 2.1720 2.5824
La 2.1720 0.0000 7.8525
Zn 0.0000 0.0000 5.2175
Zn 0.0000 2.1720 9.0811
Zn 2.1720 0.0000 1.3538
Zn 2.1720 2.1720 5.2175
Ga 0.0000 0.0000 0.0000
Ga 0.0000 2.1720 6.6062
Ga 2.1720 0.0000 3.8287
Si 2.1720 2.1720 0.0000
```

This record from Alexandria via LeMat-Bulk describes a relaxed structure of MgHg3Ge. The functional is PBE-GGA.

Summary:
Polymorph energy (0 for the lowest one) (eV/atom): 0.000
Space group: No. 221

Geometry as extended XYZ:
```
5
Lattice="5.3886 0.0000 0.0000 0.0000 5.3886 0.0000 0.0000 0.0000 5.3886" Properties=species:S:1:pos:R:3 pbc="T T T"
Mg 0.0000 0.0000 0.0000
Hg 0.0000 2.6943 2.6943
Hg 2.6943 0.0000 2.6943
Hg 2.6943 2.6943 0.0000
Ge 2.6943 2.6943 2.6943
```

This record from Alexandria via LeMat-Bulk describes a relaxed structure of Na3GaSe3. The functional is PBE-GGA.

Summary:
Polymorph energy (0 for the lowest one) (eV/atom): 0.021
Space group: No. 12
Formation energy from raw total energies (eV/atom): -0.951

Geometry as extended XYZ:
```
14
Lattice="4.0857 -6.4025 0.0000 4.0857 6.4025 0.0000 -1.1190 0.0000 7.1256" Properties=species:S:1:pos:R:3 pbc="T T T"
Na 4.0857 4.1635 0.0000
Na 3.5262 3.3243 3.5628
Na 3.1323 0.0000 1.0547
Na 3.9201 0.0000 6.0709
Na 3.5262 -3.3243 3.5628
Na 4.0857 -4.1635 0.0000
Ga 0.7888 0.0000 4.5770
Ga 6.2636 0.0000 2.5486
Se 0.5557 0.0000 2.1097
Se 1.6778 1.9923 5.5156
Se 1.6778 -1.9923 5.5156
Se 5.3746 1.9923 1.6101
Se 5.3746 -1.9923 1.6101
Se 6.4966 0.0000 5.0159
```

This record from Alexandria via LeMat-Bulk describes a relaxed structure of Mn2Ga3Si3. The functional is PBE-GGA.

Summary:
Space group: No. 44
Formation energy from raw total energies (eV/atom): -0.036

Geometry as extended XYZ:
```
16
Lattice="3.8856 0.0000 0.0000 0.0000 16.1429 0.0000 0.0000 0.0000 3.8858" Properties=species:S:1:pos:R:3 pbc="T T T"
Mn 0.0000 4.0399 0.0000
Mn 0.0000 12.1030 0.0000
Mn 1.9428 4.0315 1.9429
Mn 1.9428 12.1114 1.9429
Ga 0.0000 0.0000 1.9556
Ga 0.0000 5.6761 1.9437
Ga 0.0000 10.4668 1.9437
Ga 1.9428 2.3953 0.0009
Ga 1.9428 8.0714 0.0128
Ga 1.9428 13.7475 0.0009
Si 0.0000 2.6173 1.9436
Si 0.0010 8.0700 1.9595
Si 0.0000 13.5256 1.9436
Si 1.9438 16.1415 0.0166
Si 1.9428 5.4541 0.0007
Si 1.9428 10.6888 0.0007
```

This record from Alexandria via LeMat-Bulk describes a relaxed structure of Dy12Er5Al3. The functional is PBE-GGA.

Summary:
E_tot (Ha/atom): -0.13275
Space group: No. 230

Geometry as extended XYZ:
```
80
Lattice="-9.0844 9.0844 9.0844 9.0844 -9.0844 9.0844 9.0844 9.0844 -9.0844" Properties=species:S:1:pos:R:3 pbc="T T T"
Dy 9.0307 -1.4992 2.7379
Dy 13.6802 -1.8043 3.0429
Dy 2.7379 -0.0537 1.4992
Dy 10.8887 6.0414 -4.5959
Dy 11.8222 0.0537 1.4992
Dy 10.8887 -3.0429 4.5959
Dy 1.4992 2.7379 -0.0537
Dy 12.1273 4.4885 -1.8043
Dy 6.0414 4.5959 -1.8043
Dy 7.5851 2.7379 0.0537
Dy -0.0537 1.4992 2.7379
Dy 4.5959 -1.8043 6.0414
Dy 9.0307 7.5851 -2.7379
Dy 4.5959 1.8043 3.0429
Dy 7.5851 -2.7379 9.0307
Dy 6.0414 -4.5959 10.8887
Dy 3.0429 4.5959 1.8043
Dy 10.5836 6.3465 0.0537
Dy 2.7379 9.0307 -1.4992
Dy 10.8887 3.0429 4.4885
Dy 1.8043 3.0429 4.5959
Dy 2.7379 0.0537 7.5851
Dy 4.5959 10.8887 -3.0429
Dy 9.0307 1.4992 6.3465
Dy 0.0537 7.5851 2.7379
Dy 4.4885 -1.8043 12.1273
Dy 6.3465 9.0307 1.4992
Dy 7.2800 6.0414 4.4885
Dy -1.8043 6.0414 4.5959
Dy 6.3465 0.0537 10.5836
Dy -1.4992 2.7379 9.0307
Dy 6.0414 4.4885 7.2800
Dy 3.0429 13.6802 -1.8043
Dy 1.4992 11.8222 0.0537
Dy 4.4885 7.2800 6.0414
Dy 0.0537 1.4992 11.8222
Dy 4.4885 10.8887 3.0429
Dy 9.1380 7.5851 6.3465
Dy 1.4992 6.3465 9.0307
Dy 3.0429 4.4885 10.8887
Dy -3.0429 4.5959 10.8887
Dy 7.5851 6.3465 9.1380
Dy -1.8043 12.1273 4.4885
Dy -2.7379 9.0307 7.5851
Dy -1.8043 3.0429 13.6802
Dy 6.3465 9.1380 7.5851
Dy -4.5959 10.8887 6.0414
Dy 0.0537 10.5836 6.3465
Er 0.0000 0.0000 0.0000
Er 4.5422 4.5422 -4.5422
Er 4.5422 -4.5422 4.5422
Er 9.0844 0.0000 0.0000
Er 13.6265 2.2711 0.0000
Er 9.0844 -4.5422 6.8133
Er 6.8133 9.0844 -4.5422
Er 6.8133 0.0000 4.5422
Er 4.5422 6.8133 0.0000
Er 9.0844 4.5422 2.2711
Er -4.5422 4.5422 4.5422
Er 0.0000 9.0844 0.0000
Er 0.0000 0.0000 9.0844
Er 4.5422 4.5422 4.5422
Er 0.0000 4.5422 6.8133
Er 4.5422 2.2711 9.0844
Er 2.2711 9.0844 4.5422
Er 2.2711 0.0000 13.6265
Er 0.0000 13.6265 2.2711
Er -4.5422 6.8133 9.0844
Al 4.5422 2.2711 0.0000
Al 9.0844 4.5422 -2.2711
Al 2.2711 0.0000 4.5422
Al 11.3554 0.0000 4.5422
Al 0.0000 4.5422 2.2711
Al 4.5422 -2.2711 9.0844
Al 4.5422 11.3554 0.0000
Al 9.0844 4.5422 6.8133
Al -2.2711 9.0844 4.5422
Al 6.8133 9.0844 4.5422
Al 0.0000 4.5422 11.3554
Al 4.5422 6.8133 9.0844
```

This record from Alexandria via LeMat-Bulk describes a relaxed structure of CdHg2Ir. The functional is PBE-GGA.

Summary:
Polymorph energy (0 for the lowest one) (eV/atom): 0.130
Space group: No. 139

Geometry as extended XYZ:
```
8
Lattice="4.1517 0.0000 0.0000 0.0000 4.1517 0.0000 0.0000 0.0000 8.9503" Properties=species:S:1:pos:R:3 pbc="T T T"
Cd 0.0000 0.0000 0.0000
Cd 2.0759 2.0759 4.4751
Hg 0.0000 2.0759 2.2376
Hg 0.0000 2.0759 6.7127
Hg 2.0759 0.0000 2.2376
Hg 2.0759 0.0000 6.7127
Ir 0.0000 0.0000 4.4751
Ir 2.0759 2.0759 0.0000
```

This record from Alexandria via LeMat-Bulk describes a relaxed structure of Cs2KSb2. The functional is PBE-GGA.

Summary:
Polymorph energy (0 for the lowest one) (eV/atom): 0.006
Space group: No. 12
Formation energy from raw total energies (eV/atom): -0.381

Geometry as extended XYZ:
```
10
Lattice="5.8327 -3.2281 0.0000 5.8327 3.2281 0.0000 -4.8017 0.0000 12.5525" Properties=species:S:1:pos:R:3 pbc="T T T"
Cs -0.7325 0.0000 5.1397
Cs -0.1640 0.0000 9.7195
Cs 7.0276 0.0000 2.8330
Cs 7.5961 0.0000 7.4128
K 3.1686 0.0000 1.3752
K 3.6950 0.0000 11.1773
Sb -4.1264 0.0000 11.2970
Sb 3.0414 0.0000 4.9323
Sb 3.8222 0.0000 7.6202
Sb 10.9900 0.0000 1.2556
```

This record from Alexandria via LeMat-Bulk describes a relaxed structure of K2ZrW. The functional is PBE-GGA.

Summary:
Polymorph energy (0 for the lowest one) (eV/atom): 0.000
Space group: No. 6

Geometry as extended XYZ:
```
4
Lattice="3.5960 0.0000 0.0000 0.0000 3.5938 0.0000 -0.0689 0.0000 10.7258" Properties=species:S:1:pos:R:3 pbc="T T T"
K 0.0000 0.0000 0.0000
K 1.7403 1.7969 4.1487
Zr 1.7355 1.7969 7.8016
W 3.5328 0.0000 6.7743
```

no.,total magnetization (μB per cell)
1,0.000
2,1.135
3,0.329
4,0.000
5,0.000
6,0.000
7,0.000
8,4.915
9,0.003
10,0.000
11,0.869
12,0.000